A relaxed structure of ScSiOs2, computed with PBE-GGA.

The structure belongs to space group I-42d (No. 122); the cell edges are 7.144, 7.144 and 5.286 Å and the angles 90.00°, 90.00° and 90.00°. The asymmetric unit holds Sc at (0.000, 0.000, 0.000), Si at (0.000, 0.000, 0.500) and Os at (0.181, 0.750, 0.625).

The calculation puts the raw formation energy at 0.121 eV/atom. The calculation puts the calculated volume at 16.86 Å³ per atom. As for the calculated total energy: -8.43 eV/atom.